Entry a
{"formula": "TcOs2Ru", "functional": "GGA-PBE", "state": "relaxed", "m_tot_mub_per_cell": 1.0, "lattice_angstrom": [[2.681, -0.189, 0.000], [-1.071, 2.465, 0.000], [0.000, 0.000, 9.181]], "species": ["Os", "Os", "Ru", "Tc"], "frac_coords": [[0.000, 0.000, 0.999], [0.000, 0.000, 0.501], [0.500, 0.500, 0.250], [0.500, 0.500, 0.750]]}

Entry b
{"formula": "TcOs2Ru", "functional": "GGA-PBE", "state": "relaxed", "m_tot_mub_per_cell": 0.0, "lattice_angstrom": [[5.500, 0.278, 0.177], [2.766, 4.762, -0.177], [-3.587, -3.415, 2.414]], "species": ["Os", "Os", "Ru", "Tc"], "frac_coords": [[0.975, 0.975, 0.000], [0.525, 0.525, 0.000], [0.750, 0.250, 0.500], [0.250, 0.750, 0.500]]}

Most stable structure: entry b

Entry a
{"formula": "TcOs4Ru", "functional": "GGA-PBE", "state": "relaxed", "m_tot_mub_per_cell": 0.0, "lattice_angstrom": [[-1.002, -3.150, -1.980], [5.481, -0.939, 2.470], [-8.308, 1.897, 1.186]], "species": ["Tc", "Os", "Os", "Os", "Os", "Ru"], "frac_coords": [[0.000, 0.000, 0.000], [0.834, 0.669, 0.502], [0.166, 0.331, 0.498], [0.334, 0.667, 0.001], [0.666, 0.333, 0.999], [0.500, 0.000, 0.500]]}

Entry b
{"formula": "TcOs4Ru", "functional": "GGA-PBE", "state": "relaxed", "m_tot_mub_per_cell": 0.0, "lattice_angstrom": [[0.000, 3.589, 3.589], [3.589, 0.000, 3.589], [3.589, 3.589, 0.000]], "species": ["Tc", "Os", "Os", "Os", "Os", "Ru"], "frac_coords": [[0.000, 0.000, 0.000], [0.874, 0.375, 0.375], [0.375, 0.375, 0.874], [0.375, 0.874, 0.375], [0.375, 0.375, 0.375], [0.750, 0.750, 0.750]]}

Most stable structure: entry a

Entry a
{"formula": "Tc2OsRu2", "functional": "GGA-PBE", "state": "relaxed", "m_tot_mub_per_cell": 0.0, "lattice_angstrom": [[-2.002, 1.516, -1.101], [2.037, -1.864, -6.272], [-3.990, -7.958, -0.290]], "species": ["Tc", "Tc", "Tc", "Tc", "Os", "Os", "Ru", "Ru", "Ru", "Ru"], "frac_coords": [[0.949, 0.869, 0.897], [0.051, 0.131, 0.103], [0.579, 0.791, 0.157], [0.421, 0.209, 0.843], [0.812, 0.431, 0.623], [0.188, 0.569, 0.377], [0.805, 0.058, 0.610], [0.195, 0.942, 0.390], [0.659, 0.268, 0.317], [0.341, 0.732, 0.683]]}

Entry b
{"formula": "Tc2OsRu2", "functional": "GGA-PBE", "state": "relaxed", "m_tot_mub_per_cell": 0.0, "lattice_angstrom": [[7.290, 0.000, 0.000], [0.000, 7.290, 0.000], [0.000, 0.000, 2.777]], "species": ["Ru", "Ru", "Ru", "Ru", "Os", "Os", "Tc", "Tc", "Tc", "Tc"], "frac_coords": [[0.375, 0.875, 0.000], [0.875, 0.625, 0.000], [0.625, 0.125, 0.000], [0.125, 0.375, 0.000], [0.000, 0.000, 0.000], [0.500, 0.500, 0.000], [0.173, 0.673, 0.500], [0.673, 0.827, 0.500], [0.827, 0.327, 0.500], [0.327, 0.173, 0.500]]}

Most stable structure: entry b

Entry a
{"formula": "TeOsRu", "functional": "GGA-PBE", "state": "relaxed", "m_tot_mub_per_cell": 0.0, "lattice_angstrom": [[4.801, 0.001, 0.002], [2.119, 4.308, -0.002], [-3.077, -2.770, 2.431]], "species": ["Os", "Ru", "Te"], "frac_coords": [[0.988, 0.988, 0.000], [0.346, 0.346, 0.000], [0.666, 0.666, 0.000]]}

Entry b
{"formula": "TeOsRu", "functional": "GGA-PBE", "state": "relaxed", "m_tot_mub_per_cell": 0.0, "lattice_angstrom": [[-1.048, 3.781, 1.836], [-1.697, 0.076, 3.985], [2.334, 1.516, 3.320]], "species": ["Os", "Ru", "Te"], "frac_coords": [[0.750, 0.750, 0.750], [0.000, 0.000, 0.000], [0.500, 0.500, 0.500]]}

Most stable structure: entry b

Entry a
{"formula": "TeOsRu", "functional": "GGA-PBE", "state": "relaxed", "m_tot_mub_per_cell": 0.0, "lattice_angstrom": [[6.111, -0.005, 0.000], [4.636, 3.982, 0.000], [-5.373, -1.989, 2.125]], "species": ["Os", "Ru", "Te"], "frac_coords": [[0.985, 0.985, 0.000], [0.350, 0.350, 0.000], [0.665, 0.665, 0.000]]}

Entry b
{"formula": "TeOsRu", "functional": "GGA-PBE", "state": "relaxed", "m_tot_mub_per_cell": 0.0, "lattice_angstrom": [[7.629, -0.017, 0.010], [6.776, 2.802, -0.007], [0.854, -1.302, 2.501]], "species": ["Os", "Ru", "Te"], "frac_coords": [[0.988, 0.988, 0.012], [0.344, 0.344, 0.656], [0.668, 0.668, 0.332]]}

Entry c
{"formula": "TeOsRu", "functional": "GGA-PBE", "state": "relaxed", "m_tot_mub_per_cell": 0.0, "lattice_angstrom": [[4.355, 0.000, 0.000], [-2.177, 3.771, 0.000], [0.000, 0.000, 3.085]], "species": ["Os", "Ru", "Te"], "frac_coords": [[0.000, 0.000, 0.916], [0.667, 0.333, 0.397], [0.333, 0.667, 0.687]]}

Most stable structure: entry a

Entry a
{"formula": "Te3OsRu", "functional": "GGA-PBE", "state": "relaxed", "m_tot_mub_per_cell": 0.0, "lattice_angstrom": [[5.031, 0.000, 0.000], [0.000, 5.031, 0.000], [0.000, 0.000, 5.031]], "species": ["Ru", "Te", "Te", "Te", "Os"], "frac_coords": [[0.000, 0.000, 0.000], [0.000, 0.500, 0.000], [0.000, 0.000, 0.500], [0.500, 0.000, 0.000], [0.500, 0.500, 0.500]]}

Entry b
{"formula": "Te3OsRu", "functional": "GGA-PBE", "state": "relaxed", "m_tot_mub_per_cell": 0.0, "lattice_angstrom": [[-4.479, -2.020, 1.420], [0.207, -3.238, -3.953], [2.461, -3.405, 2.917]], "species": ["Ru", "Te", "Te", "Te", "Os"], "frac_coords": [[0.500, 0.500, 0.500], [0.000, 0.500, 0.000], [0.000, 0.000, 0.500], [0.500, 0.000, 0.000], [0.000, 0.000, 0.000]]}

Most stable structure: entry b

Entry a
{"formula": "TeOs2Ru2", "functional": "GGA-PBE", "state": "relaxed", "m_tot_mub_per_cell": 0.0, "lattice_angstrom": [[-4.253, 2.378, 5.877], [-5.212, -5.341, -1.611], [1.337, -1.818, 1.703]], "species": ["Ru", "Ru", "Ru", "Ru", "Te", "Te", "Os", "Os", "Os", "Os"], "frac_coords": [[0.167, 0.667, 0.500], [0.667, 0.833, 0.500], [0.833, 0.333, 0.500], [0.333, 0.167, 0.500], [0.000, 0.000, 0.000], [0.500, 0.500, 0.000], [0.377, 0.877, 0.000], [0.877, 0.623, 0.000], [0.623, 0.123, 0.000], [0.123, 0.377, 0.000]]}

Entry b
{"formula": "TeOs2Ru2", "functional": "GGA-PBE", "state": "relaxed", "m_tot_mub_per_cell": 0.0, "lattice_angstrom": [[-3.426, -1.248, 0.075], [1.243, -3.424, -0.187], [-0.855, -2.600, 6.359]], "species": ["Ru", "Ru", "Te", "Os", "Os"], "frac_coords": [[0.750, 0.250, 0.500], [0.250, 0.750, 0.500], [0.000, 0.000, 0.000], [0.394, 0.394, 0.211], [0.606, 0.606, 0.789]]}

Most stable structure: entry a

Entry a
{"formula": "Te2OsRu", "functional": "GGA-PBE", "state": "relaxed", "m_tot_mub_per_cell": 0.0, "lattice_angstrom": [[-2.022, -3.771, 1.381], [2.776, -1.149, 0.927], [-0.655, 2.159, 4.938]], "species": ["Os", "Ru", "Te", "Te"], "frac_coords": [[0.500, 0.250, 0.250], [0.500, 0.750, 0.750], [0.000, 0.021, 0.997], [0.000, 0.479, 0.503]]}

Entry b
{"formula": "Te2OsRu", "functional": "GGA-PBE", "state": "relaxed", "m_tot_mub_per_cell": 0.0, "lattice_angstrom": [[-0.192, -1.926, -4.029], [2.458, -2.877, -2.380], [-2.485, -4.925, 1.155]], "species": ["Os", "Ru", "Te", "Te"], "frac_coords": [[0.750, 0.750, 0.750], [0.250, 0.250, 0.250], [0.000, 0.000, 0.001], [0.500, 0.500, 0.499]]}

Most stable structure: entry b

Entry a
{"formula": "Te2OsRu", "functional": "GGA-PBE", "state": "relaxed", "m_tot_mub_per_cell": 0.0, "lattice_angstrom": [[-0.275, -0.861, -2.973], [2.701, -0.446, 1.470], [-2.793, -8.215, 2.639]], "species": ["Os", "Ru", "Te", "Te"], "frac_coords": [[0.500, 0.500, 0.250], [0.500, 0.500, 0.750], [0.000, 0.000, 0.998], [0.000, 0.000, 0.502]]}

Entry b
{"formula": "Te2OsRu", "functional": "GGA-PBE", "state": "relaxed", "m_tot_mub_per_cell": 0.0, "lattice_angstrom": [[5.886, 0.000, 0.000], [0.000, 5.886, 0.000], [2.943, 2.943, 5.905]], "species": ["Ru", "Ru", "Te", "Te", "Te", "Te", "Os", "Os"], "frac_coords": [[0.500, 0.500, 0.000], [0.250, 0.750, 0.500], [0.625, 0.125, 0.250], [0.125, 0.625, 0.250], [0.375, 0.375, 0.750], [0.875, 0.875, 0.750], [0.000, 0.000, 0.000], [0.750, 0.250, 0.500]]}

Most stable structure: entry b

Entry a
{"formula": "Te2OsRu", "functional": "GGA-PBE", "state": "relaxed", "m_tot_mub_per_cell": 0.0, "lattice_angstrom": [[5.479, -0.009, -0.001], [1.916, 5.133, 0.001], [-2.823, -3.823, 2.725]], "species": ["Os", "Ru", "Te", "Te"], "frac_coords": [[0.750, 0.250, 0.500], [0.250, 0.750, 0.500], [0.999, 0.999, 0.000], [0.501, 0.501, 0.000]]}

Entry b
{"formula": "Te2OsRu", "functional": "GGA-PBE", "state": "relaxed", "m_tot_mub_per_cell": 0.4, "lattice_angstrom": [[3.168, 0.000, 0.000], [0.000, 3.168, 0.000], [0.000, 0.000, 8.505]], "species": ["Os", "Ru", "Te", "Te"], "frac_coords": [[0.000, 0.000, 0.509], [0.500, 0.500, 0.743], [0.000, 0.000, 0.914], [0.500, 0.500, 0.334]]}

Entry c
{"formula": "Te2OsRu", "functional": "GGA-PBE", "state": "relaxed", "m_tot_mub_per_cell": 0.0, "lattice_angstrom": [[1.935, 0.000, 8.754], [-0.968, 1.676, 8.754], [-0.968, -1.676, 8.754]], "species": ["Ru", "Te", "Te", "Os"], "frac_coords": [[0.000, 0.000, 0.000], [0.905, 0.905, 0.905], [0.095, 0.095, 0.095], [0.500, 0.500, 0.500]]}

Most stable structure: entry b

Entry a
{"formula": "ThOsRu", "functional": "GGA-PBE", "state": "relaxed", "m_tot_mub_per_cell": 0.0, "lattice_angstrom": [[-3.200, 1.286, -2.392], [-1.769, -3.871, 0.285], [-0.951, 2.997, 2.882]], "species": ["Ru", "Os", "Th"], "frac_coords": [[0.156, 0.000, 0.000], [0.179, 0.333, 0.667], [0.665, 0.667, 0.333]]}

Entry b
{"formula": "ThOsRu", "functional": "GGA-PBE", "state": "relaxed", "m_tot_mub_per_cell": 0.0, "lattice_angstrom": [[-1.567, 3.084, -3.803], [-1.124, -2.296, -4.873], [-5.245, -0.381, -1.622]], "species": ["Th", "Th", "Os", "Os", "Ru", "Ru"], "frac_coords": [[0.877, 0.373, 0.373], [0.123, 0.627, 0.627], [0.000, 0.000, 0.000], [0.500, 0.000, 0.000], [0.500, 0.500, 0.000], [0.500, 0.000, 0.500]]}

Most stable structure: entry b

Entry a
{"formula": "TiOs2Ru2", "functional": "GGA-PBE", "state": "relaxed", "m_tot_mub_per_cell": 0.0, "lattice_angstrom": [[-6.835, 1.922, 2.199], [-0.801, -6.616, 3.291], [1.042, 1.035, 2.335]], "species": ["Ru", "Ru", "Ru", "Ru", "Os", "Os", "Os", "Os", "Ti", "Ti"], "frac_coords": [[0.377, 0.877, 0.000], [0.877, 0.623, 0.000], [0.623, 0.123, 0.000], [0.123, 0.377, 0.000], [0.173, 0.673, 0.500], [0.673, 0.827, 0.500], [0.827, 0.327, 0.500], [0.327, 0.173, 0.500], [0.000, 0.000, 0.000], [0.500, 0.500, 0.000]]}

Entry b
{"formula": "TiOs2Ru2", "functional": "GGA-PBE", "state": "relaxed", "m_tot_mub_per_cell": 0.0, "lattice_angstrom": [[7.446, 0.000, 0.000], [0.000, 7.446, 0.000], [0.000, 0.000, 2.760]], "species": ["Ru", "Ru", "Ru", "Ru", "Os", "Os", "Os", "Os", "Ti", "Ti"], "frac_coords": [[0.173, 0.673, 0.500], [0.673, 0.827, 0.500], [0.827, 0.327, 0.500], [0.327, 0.173, 0.500], [0.377, 0.877, 0.000], [0.877, 0.623, 0.000], [0.623, 0.123, 0.000], [0.123, 0.377, 0.000], [0.000, 0.000, 0.000], [0.500, 0.500, 0.000]]}

Most stable structure: entry b

Entry a
{"formula": "TiOs2Ru", "functional": "GGA-PBE", "state": "relaxed", "m_tot_mub_per_cell": 1.4, "lattice_angstrom": [[0.000, 3.090, 3.090], [3.090, 0.000, 3.090], [3.090, 3.090, 0.000]], "species": ["Ru", "Os", "Os", "Ti"], "frac_coords": [[0.500, 0.500, 0.500], [0.250, 0.250, 0.250], [0.750, 0.750, 0.750], [0.000, 0.000, 0.000]]}

Entry b
{"formula": "TiOs2Ru", "functional": "GGA-PBE", "state": "relaxed", "m_tot_mub_per_cell": 0.0, "lattice_angstrom": [[3.715, 0.000, 0.000], [0.000, 3.715, 0.000], [1.858, 1.858, 9.200]], "species": ["Ru", "Ru", "Os", "Os", "Os", "Os", "Ti", "Ti"], "frac_coords": [[0.000, 0.000, 0.000], [0.750, 0.250, 0.500], [0.605, 0.125, 0.250], [0.145, 0.625, 0.250], [0.375, 0.395, 0.750], [0.875, 0.855, 0.750], [0.500, 0.500, 0.000], [0.250, 0.750, 0.500]]}

Most stable structure: entry a